[1]
DFT (PBE) results for an optimized crystal structure of Sr2TePI.

Output
ΔE to the lowest computed polymorph in meV/atom: 950
Magnetic moment in μB/atom: 0.156
Final energy in eV/cell: -12.918

a = 6.235 Å, b = 6.235 Å, c = 5.817 Å
α = 90.00°, β = 90.00°, γ = 90.00°
Space group P4/mmm (No. 123)
Symmetry-distinct sites (fractional):
Sr  0.000  0.500  0.000 (multiplicity 2)
Te  0.000  0.000  0.500 (multiplicity 1)
P  0.500  0.500  0.500 (multiplicity 1)
I  0.000  0.000  0.000 (multiplicity 1)

***

[2]
DFT (PBE) results for an optimized crystal structure of SrTePI2.

Output
ΔE to the lowest computed polymorph in meV/atom: 628
Magnetic moment in μB/atom: 0.211
Final energy in eV/cell: -12.706

a = 6.323 Å, b = 6.323 Å, c = 6.763 Å
α = 90.00°, β = 90.00°, γ = 90.00°
Space group P4/mmm (No. 123)
Symmetry-distinct sites (fractional):
Sr  0.000  0.000  0.000 (multiplicity 1)
Te  0.000  0.000  0.500 (multiplicity 1)
P  0.500  0.500  0.500 (multiplicity 1)
I  0.000  0.500  0.000 (multiplicity 2)

***

[3]
DFT (PBE) results for an optimized crystal structure of SrTe2PI.

Output
ΔE to the lowest computed polymorph in meV/atom: 996
Magnetic moment in μB/atom: 0.512
Final energy in eV/cell: -12.101

a = 6.031 Å, b = 6.031 Å, c = 6.141 Å
α = 90.00°, β = 90.00°, γ = 90.00°
Space group P4/mmm (No. 123)
Symmetry-distinct sites (fractional):
Sr  0.000  0.000  0.000 (multiplicity 1)
Te  0.000  0.500  0.500 (multiplicity 2)
P  0.500  0.500  0.000 (multiplicity 1)
I  0.000  0.000  0.500 (multiplicity 1)

***

[4]
DFT (PBE) results for an optimized crystal structure of SrTe2PI.

Output
ΔE to the lowest computed polymorph in meV/atom: 868
Magnetic moment in μB/atom: 0.002
Final energy in eV/cell: -12.739

a = 6.498 Å, b = 6.498 Å, c = 6.289 Å
α = 90.00°, β = 90.00°, γ = 90.00°
Space group P4/mmm (No. 123)
Symmetry-distinct sites (fractional):
Sr  0.000  0.000  0.000 (multiplicity 1)
Te  0.000  0.500  0.000 (multiplicity 2)
P  0.500  0.500  0.500 (multiplicity 1)
I  0.000  0.000  0.500 (multiplicity 1)

***

[5]
DFT (PBE) results for an optimized crystal structure of SrZnPI.

Output
Magnetic moment in μB/atom: 0.000
Final energy in eV/cell: -83.680

a = 4.2712 Å, b = 4.2712 Å, c = 45.8259 Å
α = 90.00°, β = 90.00°, γ = 120.00°
Space group R-3m (No. 166, hexagonal axes)
Symmetry-distinct sites (fractional):
Sr  0.0000  0.0000  0.0762 (multiplicity 6)
Zn  0.0000  0.0000  0.3135 (multiplicity 6)
P  0.0000  0.0000  0.3679 (multiplicity 6)
I  0.0000  0.0000  0.2119 (multiplicity 6)

***

[6]
DFT (PBE) results for an optimized crystal structure of TaP2I.

Output
ΔE to the lowest computed polymorph in meV/atom: 0
Magnetic moment in μB/atom: 0.000
Final energy in eV/cell: -90.337

a = 6.515 Å, b = 6.515 Å, c = 11.107 Å
α = 90.00°, β = 90.00°, γ = 90.00°
Space group I-42d (No. 122)
Symmetry-distinct sites (fractional):
Ta  0.000  0.000  0.000 (multiplicity 4)
P  0.158  0.250  0.125 (multiplicity 8)
I  0.000  0.000  0.500 (multiplicity 4)

***

[7]
DFT (PBE) results for an optimized crystal structure of TaP3I.

Output
ΔE to the lowest computed polymorph in meV/atom: 0
Magnetic moment in μB/atom: 0.000
Final energy in eV/cell: -27.483

a = 4.886 Å, b = 4.886 Å, c = 4.886 Å
α = 90.00°, β = 90.00°, γ = 90.00°
Space group Pm-3m (No. 221)
Symmetry-distinct sites (fractional):
Ta  0.000  0.000  0.000 (multiplicity 1)
P  0.000  0.000  0.500 (multiplicity 3)
I  0.500  0.500  0.500 (multiplicity 1)

***

[8]
DFT (PBE) results for an optimized crystal structure of Ta3PI.

Output
ΔE to the lowest computed polymorph in meV/atom: 0
Magnetic moment in μB/atom: 0.000
Final energy in eV/cell: -38.611

a = 4.702 Å, b = 4.702 Å, c = 4.702 Å
α = 90.00°, β = 90.00°, γ = 90.00°
Space group Pm-3m (No. 221)
Symmetry-distinct sites (fractional):
Ta  0.000  0.000  0.500 (multiplicity 3)
P  0.000  0.000  0.000 (multiplicity 1)
I  0.500  0.500  0.500 (multiplicity 1)